Ac2Ga5Co | PBE-GGA | relaxed

Cell: 6.6032 6.6032 6.6032 Å, 124.12 124.12 83.01°
Last column: nearest neighbours and their distance in Å.
Sites, in units of the cell vectors:
Ac: 0.0000 0.5000 0.5000  10 Ga 3.14-3.32
Ac: 0.5000 0.0000 0.5000  10 Ga 3.14-3.32
Ga: 0.0226 0.0226 0.5485  1 Co 2.46
Ga: 0.0226 0.4741 0.0000  1 Co 2.46
Ga: 0.4483 0.4483 0.0000  1 Co 2.45
Ga: 0.4741 0.0226 0.0000  1 Co 2.46
Ga: 0.4741 0.4741 0.4515  1 Co 2.46
Co: 0.6959 0.6959 0.0000  5 Ga 2.45-2.46

Calculated values
Mass density, Mg/m³: 7.6
D(E_F), states/eV per cell: 6.507
Raw total energy, eV per atom: -4.154